DFT (GGA-PBE) results for ZnTc2Ag after structural relaxation.

Geometry as POSCAR:
```
ZnTc2Ag
1.0
-1.900 2.088 3.805
1.900 -2.088 3.805
1.900 2.088 -3.805
Zn Tc Ag
1 2 1
direct
0.000 0.000 0.000 Zn
0.257 0.757 0.500 Tc
0.491 0.491 0.000 Tc
0.752 0.252 0.500 Ag
```

Calculated values
- ρ: 10.16 g/cm3
- Energy relative to the elements: 334.9 meV/atom
- Size of the total moment: 0.0 μB per formula unit